A geometry-optimized CeSiTcC structure. Source: Alexandria via LeMat-Bulk, functional PBE.

Cell: 3.8469 3.8469 8.8555 Å, 90.00 90.00 90.00°
Each line ends with the local moment (μB).
Positions (direct):
Si: 0.5000 0.0000 0.6734  0.00
Ce: 0.0000 0.5000 0.8512  0.22
Tc: 0.0000 0.0000 0.5000  0.00
Tc: 0.5000 0.5000 0.5000  0.00
Si: 0.0000 0.5000 0.3266  0.00
C: 0.0000 0.5000 0.1187  -0.01
Ce: 0.5000 0.0000 0.1488  0.22
C: 0.5000 0.0000 0.8813  -0.01

Calculated values
- D(E_F): 3.9 states/eV/f.u.
- Raw formation energy: -366 meV/atom
- Volume: 16.38 A^3/atom

A geometry-optimized Cu2PbAu2 structure. Source: Alexandria via LeMat-Bulk, functional PBE.

Cell: 7.7623 7.7623 3.0037 Å, 90.00 90.00 90.00°
Positions (direct):
Cu: 0.8387 0.3387 0.5000
Cu: 0.1613 0.6613 0.5000
Au: 0.6334 0.1334 0.0000
Cu: 0.6613 0.8387 0.5000
Au: 0.3666 0.8666 0.0000
Cu: 0.3387 0.1613 0.5000
Pb: 0.0000 0.0000 0.0000
Pb: 0.5000 0.5000 0.0000
Au: 0.1334 0.3666 0.0000
Au: 0.8666 0.6334 0.0000

Calculated values
- D(E_F): 1.8 states/eV/f.u.
- Energy of formation: 0.0517 eV per atom
- Volume: 18.10 A^3/atom
- Polymorph energy (0 for the lowest one): 16 meV per atom

A geometry-optimized PrDy6Th2 structure. Source: Alexandria via LeMat-Bulk, functional PBE.

Cell: 3.5748 3.5748 26.5012 Å, 90.00 90.00 120.00°
Positions (direct):
Dy: 0.3333 0.6667 0.7804
Dy: 0.3333 0.6667 0.2196
Th: 0.6667 0.3333 0.6691
Dy: 0.6667 0.3333 0.1130
Th: 0.6667 0.3333 0.3309
Dy: 0.6667 0.3333 0.8870
Pr: 0.3333 0.6667 0.0000
Dy: 0.3333 0.6667 0.5627
Dy: 0.3333 0.6667 0.4373

Calculated values
- D(E_F): 18.2 states/eV/f.u.
- Energy of formation: 0.0785 eV per atom
- Volume: 32.59 A^3/atom
- Polymorph energy (0 for the lowest one): 19 meV per atom

A geometry-optimized CoSe5 structure. Source: Alexandria via LeMat-Bulk, functional PBE.

Cell: 3.3795 8.6361 10.1023 Å, 90.00 90.00 101.32°
Positions (direct):
Se: 0.0416 0.0828 0.8896
Se: 0.7028 0.4061 0.0375
Se: 0.1148 0.2283 0.2500
Co: 0.5132 0.0257 0.2500
Se: 0.0416 0.0828 0.6103
Se: 0.2972 0.5938 0.5376
Se: 0.8852 0.7717 0.7500
Se: 0.7028 0.4061 0.4625
Se: 0.9584 0.9172 0.3897
Se: 0.2972 0.5938 0.9624
Se: 0.9584 0.9172 0.1103
Co: 0.4868 0.9744 0.7500

Calculated values
- D(E_F): 2.9 states/eV/f.u.
- Raw formation energy: 21 meV/atom
- Volume: 24.09 A^3/atom

A geometry-optimized Ca4RhW structure. Source: Alexandria via LeMat-Bulk, functional PBE.

Cell: 6.0789 6.0789 6.0789 Å, 60.00 60.00 60.00°
Each line ends with the local moment (μB).
Positions (direct):
Ca: 0.8742 0.3753 0.3753  0.04
Ca: 0.3753 0.3753 0.8742  0.04
Ca: 0.3753 0.3753 0.3753  0.04
Ca: 0.3753 0.8742 0.3753  0.04
W: 0.0000 0.0000 0.0000  2.40
Rh: 0.7500 0.7500 0.7500  0.32

Calculated values
- D(E_F): 5.8 states/eV/f.u.
- Energy of formation: 1.2504 eV per atom
- Volume: 26.47 A^3/atom

A geometry-optimized BaRu2Se structure. Source: Alexandria via LeMat-Bulk, functional PBE.

Cell: 4.0636 4.8218 5.3393 Å, 81.68 90.00 90.00°
Positions (direct):
Se: 0.5000 0.2500 0.2500
Ru: 0.0000 0.5090 0.3257
Ba: 0.5000 0.7500 0.7500
Ru: 0.0000 0.9910 0.1743

Calculated values
- D(E_F): 4.5 states/eV/f.u.
- Raw formation energy: 114 meV/atom
- Volume: 25.88 A^3/atom

A geometry-optimized Y2PO structure. Source: Alexandria via LeMat-Bulk, functional PBE.

Cell: 4.1497 3.7997 10.2829 Å, 90.00 90.00 90.00°
Positions (direct):
O: 0.2010 0.8584 0.1270
O: 0.7010 0.3584 0.0889
Y: 0.2010 0.3584 0.0050
P: 0.7010 0.3584 0.4384
Y: 0.7010 0.8583 0.2110
Y: 0.7010 0.3583 0.7150
P: 0.2010 0.8583 0.7776
Y: 0.2010 0.8583 0.5010

Calculated values
- D(E_F): 2.0 states/eV/f.u.
- Raw formation energy: -2253 meV/atom
- Volume: 20.27 A^3/atom
- Polymorph energy (0 for the lowest one): 0 meV per atom

A geometry-optimized Ta2FeI structure. Source: Alexandria via LeMat-Bulk, functional PBE.

Cell: 5.6301 5.6301 7.4268 Å, 67.73 67.73 90.00°
Positions (direct):
I: 0.0000 0.0000 0.0000
Ta: 0.2130 0.6250 0.2500
Fe: 0.2500 0.7500 0.5000
Ta: 0.5370 0.1250 0.2500
Ta: 0.3750 0.4630 0.7500
Ta: 0.8750 0.7870 0.7500
Fe: 0.5000 0.5000 0.0000
I: 0.7500 0.2500 0.5000

Calculated values
- D(E_F): 4.5 states/eV/f.u.
- Raw formation energy: 1164 meV/atom
- Volume: 24.84 A^3/atom
- Polymorph energy (0 for the lowest one): 269 meV per atom

A geometry-optimized Sr3GaHg structure. Source: Alexandria via LeMat-Bulk, functional PBE.

Cell: 5.6863 5.6807 11.3621 Å, 90.00 75.51 90.00°
Positions (direct):
Hg: 0.4842 0.7500 0.6799
Ga: 0.6667 0.7500 0.3150
Ga: 0.9817 0.2500 0.6850
Sr: 0.9001 0.7500 0.8481
Sr: 0.0736 0.7500 0.5012
Sr: 0.2469 0.7500 0.1546
Sr: 0.5748 0.2500 0.4988
Sr: 0.4015 0.2500 0.8454
Sr: 0.7482 0.2500 0.1519
Hg: 0.1641 0.2500 0.3201

Calculated values
- D(E_F): 3.7 states/eV/f.u.
- Energy of formation: -0.3812 eV per atom
- Volume: 35.53 A^3/atom
- Polymorph energy (0 for the lowest one): 0 meV per atom

A geometry-optimized K2LaTl2 structure. Source: Alexandria via LeMat-Bulk, functional PBE.

Cell: 6.0533 6.0533 6.7724 Å, 63.45 63.45 90.00°
Positions (direct):
La: 0.0000 0.0000 0.0000
K: 0.3628 0.3628 0.2743
Tl: 0.7500 0.2500 0.5000
K: 0.6372 0.6372 0.7257
Tl: 0.2500 0.7500 0.5000

Calculated values
- D(E_F): 5.8 states/eV/f.u.
- Energy of formation: 0.2714 eV per atom
- Volume: 38.46 A^3/atom
- Polymorph energy (0 for the lowest one): 219 meV per atom

A geometry-optimized NaHfIn structure. Source: Alexandria via LeMat-Bulk, functional PBE.

Cell: 5.2489 5.2489 3.1070 Å, 90.00 90.00 120.00°
Positions (direct):
Hf: 0.3333 0.6667 0.0000
Na: 0.6667 0.3333 0.5000
In: 0.0000 0.0000 0.0000

Calculated values
- D(E_F): 1.6 states/eV/f.u.
- Energy of formation: 0.3888 eV per atom
- Volume: 24.71 A^3/atom
- Polymorph energy (0 for the lowest one): 481 meV per atom

A geometry-optimized ZnFe3 structure. Source: Alexandria via LeMat-Bulk, functional PBE.

Cell: 2.4852 4.0848 4.8223 Å, 90.00 80.21 90.00°
Each line ends with the local moment (μB).
Positions (direct):
Fe: 0.0074 0.0000 0.0094  2.37
Fe: 0.4926 0.0000 0.4906  2.37
Fe: 0.2500 0.5000 0.2500  2.34
Zn: 0.7500 0.5000 0.7500  -0.08

Calculated values
- D(E_F): 2.6 states/eV/f.u.
- Energy of formation: 0.0312 eV per atom
- Volume: 12.06 A^3/atom

D(E_F) of number 4 (CoSe5)? 2.9 states/eV/f.u.

What did the twelfth record say?
A geometry-optimized ZnFe3 structure. Source: Alexandria via LeMat-Bulk, functional PBE.

Cell: 2.4852 4.0848 4.8223 Å, 90.00 80.21 90.00°
Each line ends with the local moment (μB).
Positions (direct):
Fe: 0.0074 0.0000 0.0094  2.37
Fe: 0.4926 0.0000 0.4906  2.37
Fe: 0.2500 0.5000 0.2500  2.34
Zn: 0.7500 0.5000 0.7500  -0.08

Calculated values
- D(E_F): 2.6 states/eV/f.u.
- Energy of formation: 0.0312 eV per atom
- Volume: 12.06 A^3/atom

D(E_F) of number 2 (Cu2PbAu2)? 1.8 states/eV/f.u.

What did the second record say?
A geometry-optimized Cu2PbAu2 structure. Source: Alexandria via LeMat-Bulk, functional PBE.

Cell: 7.7623 7.7623 3.0037 Å, 90.00 90.00 90.00°
Positions (direct):
Cu: 0.8387 0.3387 0.5000
Cu: 0.1613 0.6613 0.5000
Au: 0.6334 0.1334 0.0000
Cu: 0.6613 0.8387 0.5000
Au: 0.3666 0.8666 0.0000
Cu: 0.3387 0.1613 0.5000
Pb: 0.0000 0.0000 0.0000
Pb: 0.5000 0.5000 0.0000
Au: 0.1334 0.3666 0.0000
Au: 0.8666 0.6334 0.0000

Calculated values
- D(E_F): 1.8 states/eV/f.u.
- Energy of formation: 0.0517 eV per atom
- Volume: 18.10 A^3/atom
- Polymorph energy (0 for the lowest one): 16 meV per atom